[1]
This record from Alexandria via LeMat-Bulk describes crystalline FeIrPt2Rh2 at its relaxed geometry. The functional is GGA-PBE.

Lattice parameters (Å, degrees): 4.033 8.359 5.354 90.00 90.00 90.00
Sites, in units of the cell vectors:
Fe  0.000  0.000  0.000
Fe  0.500  0.500  0.500
Ir  0.500  0.500  0.000
Ir  0.000  0.000  0.500
Pt  0.500  0.854  0.247
Pt  0.500  0.146  0.753
Pt  0.000  0.646  0.747
Pt  0.000  0.354  0.253
Rh  0.500  0.163  0.246
Rh  0.000  0.663  0.254
Rh  0.500  0.837  0.754
Rh  0.000  0.337  0.746

Output
energy relative to the elements = 145.1 meV per atom
V = 15.04 Å³/atom

=====

[2]
This record from Alexandria via LeMat-Bulk describes crystalline LaMn2 at its relaxed geometry. The functional is GGA-PBE.

Lattice parameters (Å, degrees): 8.075 8.075 4.035 90.00 90.00 152.17
Sites, in units of the cell vectors:
La  0.403  0.597  0.250
La  0.597  0.403  0.750
Mn  0.750  0.250  0.250
Mn  0.181  0.819  0.250
Mn  0.819  0.181  0.750
Mn  0.250  0.750  0.750

Output
energy relative to the elements = 229.2 meV per atom
V = 20.47 Å³/atom

=====

[3]
This record from Alexandria via LeMat-Bulk describes crystalline Pm3Y6Ho2Mg at its relaxed geometry. The functional is GGA-PBE.

Lattice parameters (Å, degrees): 6.188 6.188 11.758 95.07 95.07 120.04
Sites, in units of the cell vectors:
Pm  0.166  0.834  0.500
Pm  0.834  0.166  0.500
Pm  0.500  0.500  0.500
Y  0.919  0.587  0.755
Y  0.749  0.749  0.246
Y  0.081  0.413  0.245
Y  0.587  0.919  0.755
Y  0.251  0.251  0.754
Y  0.413  0.081  0.245
Ho  0.334  0.666  0.000
Ho  0.666  0.334  0.000
Mg  0.000  0.000  0.000

Output
energy relative to the elements = 32.4 meV per atom
V = 31.97 Å³/atom

=====

Q: What is the formula in the third record?
A: Pm3Y6Ho2Mg

=====

Repeat the first record exactly.
This record from Alexandria via LeMat-Bulk describes crystalline FeIrPt2Rh2 at its relaxed geometry. The functional is GGA-PBE.

Lattice parameters (Å, degrees): 4.033 8.359 5.354 90.00 90.00 90.00
Sites, in units of the cell vectors:
Fe  0.000  0.000  0.000
Fe  0.500  0.500  0.500
Ir  0.500  0.500  0.000
Ir  0.000  0.000  0.500
Pt  0.500  0.854  0.247
Pt  0.500  0.146  0.753
Pt  0.000  0.646  0.747
Pt  0.000  0.354  0.253
Rh  0.500  0.163  0.246
Rh  0.000  0.663  0.254
Rh  0.500  0.837  0.754
Rh  0.000  0.337  0.746

Output
energy relative to the elements = 145.1 meV per atom
V = 15.04 Å³/atom

=====

Q: What is the energy relative to the elements in the first record?
A: 145.1 meV per atom

=====

Please write out number 3 again, unchanged.
This record from Alexandria via LeMat-Bulk describes crystalline Pm3Y6Ho2Mg at its relaxed geometry. The functional is GGA-PBE.

Lattice parameters (Å, degrees): 6.188 6.188 11.758 95.07 95.07 120.04
Sites, in units of the cell vectors:
Pm  0.166  0.834  0.500
Pm  0.834  0.166  0.500
Pm  0.500  0.500  0.500
Y  0.919  0.587  0.755
Y  0.749  0.749  0.246
Y  0.081  0.413  0.245
Y  0.587  0.919  0.755
Y  0.251  0.251  0.754
Y  0.413  0.081  0.245
Ho  0.334  0.666  0.000
Ho  0.666  0.334  0.000
Mg  0.000  0.000  0.000

Output
energy relative to the elements = 32.4 meV per atom
V = 31.97 Å³/atom